Compound: HfTcH2
Source: Alexandria
Functional: PBE
Structure: relaxed

Summary:
The total magnetization comes out at 0.0 μB per formula unit. The calculation puts the energy relative to the lowest polymorph listed for this composition at 1.01 kcal/mol of atoms. The crystal system is tetragonal.

Unit cell a=4.142 b=4.142 c=5.683 alpha=68.63 beta=68.63 gamma=90.00
Positions (direct):
H (0.579, 0.125, 0.250)
H (0.171, 0.625, 0.250)
H (0.375, 0.421, 0.750)
H (0.875, 0.829, 0.750)
Hf (0.000, 0.000, 0.000)
Hf (0.750, 0.250, 0.500)
Tc (0.500, 0.500, 0.000)
Tc (0.250, 0.750, 0.500)


Compound: TaCoSb2
Source: Alexandria
Functional: PBE
Structure: relaxed

Summary:
The uncorrected formation energy is 0.380 eV/atom. The total magnetization comes out at 0.0 μB per formula unit. The crystal system is orthorhombic.

Unit cell a=3.157 b=3.157 c=7.749 alpha=90.00 beta=90.00 gamma=104.61
Positions (direct):
Co (0.500, 0.500, 0.750)
Sb (0.000, 0.000, 0.973)
Sb (0.000, 0.000, 0.527)
Ta (0.500, 0.500, 0.250)


Which formula does entry 2 have?
TaCoSb2